Here is a relaxed structure of MoPdN2O from Alexandria via LeMat-Bulk. Energies are from PBE+U.

Structure (POSCAR):
```
MoPdN2O
1.0
-0.627 1.239 3.769
3.159 -2.152 1.234
2.288 3.009 -0.609
N Pd O Mo
2 1 1 1
Direct
0.000 0.500 0.000 N
0.500 0.000 0.000 N
0.500 0.500 0.500 Pd
0.000 0.000 0.500 O
0.000 0.000 0.000 Mo
```

Values from the calculation:
Space group: No. 123
DOS(E_F) (states/eV per atom): 0.9435
Total energy (eV per atom): -6.2135
Total magnetization (μB per cell): 0.1



Here is a relaxed structure of BaNaPrWO6 from Alexandria via LeMat-Bulk. Energies are from PBE+U.

Structure (POSCAR):
```
BaNaPrWO6
1.0
5.491 -1.906 -0.594
3.263 -1.029 4.736
1.363 -5.487 1.473
W Na O Ba Pr
1 1 6 1 1
Direct
0.500 0.500 0.500 W
0.000 0.000 0.000 Na
0.265 0.735 0.735 O
0.735 0.265 0.265 O
0.735 0.735 0.265 O
0.735 0.265 0.735 O
0.265 0.735 0.265 O
0.265 0.265 0.735 O
0.750 0.750 0.750 Ba
0.250 0.250 0.250 Pr
```

Values from the calculation:
Space group: No. 216
DOS(E_F) (states/eV per atom): 0.0000
Total energy (eV per atom): -6.9341
Total magnetization (μB per cell): 0.0